Entry 1:
Compound: Nd2Ga5Cu3
Source: Alexandria via LeMat-Bulk
Functional: SCAN
Structure: PBEsol geometry

```
Nd2Ga5Cu3
1.0
4.168 0.000 0.000
0.000 4.168 0.000
0.000 0.000 10.096
Nd Ga Cu
2 5 3
Direct
0.000 0.500 0.243
0.500 0.000 0.757
0.000 0.000 0.500
0.000 0.500 0.637
0.000 0.500 0.881
0.500 0.000 0.119
0.500 0.000 0.363
0.000 0.000 0.000
0.500 0.500 0.000
0.500 0.500 0.500
```

## Properties
VASP energy	-0.810	hartree per atom
energy of formation	-5.800	eV per formula unit
magnetization	0.00	μB/f.u.
volume	175.4	Å³/f.u.

=====

Entry 2:
Compound: Nd2Ga3Cu
Source: Alexandria via LeMat-Bulk
Functional: SCAN
Structure: PBEsol geometry

```
Nd2Ga3Cu
1.0
4.370 0.000 0.000
-2.185 3.785 0.000
0.000 0.000 7.538
Nd Ga Cu
2 3 1
Direct
0.000 0.000 0.000
0.000 0.000 0.471
0.333 0.667 0.771
0.667 0.333 0.248
0.667 0.333 0.697
0.333 0.667 0.212
```

## Properties
VASP energy	-0.952	hartree per atom
energy of formation	-4.065	eV per formula unit
magnetization	0.00	μB/f.u.
volume	124.7	Å³/f.u.

=====

Entry 3:
Compound: GaCuO2
Source: Alexandria via LeMat-Bulk
Functional: SCAN
Structure: PBEsol geometry

```
GaCuO2
1.0
1.512 0.873 5.774
-1.512 0.873 5.774
0.000 -1.746 5.774
Ga Cu O
1 1 2
Direct
0.000 0.000 0.000
0.500 0.500 0.500
0.106 0.106 0.106
0.894 0.894 0.894
```

## Properties
VASP energy	-0.432	hartree per atom
formation energy from raw total energies	-2.99	eV per formula unit
magnetization	1.34	μB/f.u.
volume	45.7	Å³/f.u.

=====

Entry 4:
Compound: GaCuO2
Source: Alexandria via LeMat-Bulk
Functional: SCAN
Structure: PBEsol geometry

```
GaCuO2
1.0
1.484 0.857 5.708
-1.484 0.857 5.708
0.000 -1.714 5.708
Ga Cu O
1 1 2
Direct
0.000 0.000 0.000
0.500 0.500 0.500
0.392 0.392 0.392
0.608 0.608 0.608
```

## Properties
VASP energy	-0.459	hartree per atom
formation energy from raw total energies	-5.98	eV per formula unit
magnetization	0.00	μB/f.u.
volume	43.5	Å³/f.u.

=====

Entry 5:
Compound: GaCuO2
Source: Alexandria via LeMat-Bulk
Functional: SCAN
Structure: PBEsol geometry

```
GaCuO2
1.0
2.969 0.000 0.000
-1.484 2.571 0.000
0.000 0.000 11.414
Ga Cu O
2 2 4
Direct
0.000 0.000 0.000
0.000 0.000 0.500
0.333 0.667 0.250
0.667 0.333 0.750
0.333 0.667 0.089
0.333 0.667 0.411
0.667 0.333 0.589
0.667 0.333 0.911
```

## Properties
VASP energy	-0.459	hartree per atom
formation energy from raw total energies	-5.98	eV per formula unit
magnetization	0.00	μB/f.u.
volume	43.6	Å³/f.u.

=====

Entry 6:
Compound: Sr4Y2GaCu5Pb4O16
Source: Alexandria via LeMat-Bulk
Functional: SCAN
Structure: PBEsol geometry

```
Sr4Y2GaCu5Pb4O16
1.0
15.731 -2.692 0.000
15.731 2.692 0.000
-0.837 0.000 5.353
Sr Y Ga Cu Pb O
4 2 1 5 4 16
Direct
0.000 0.000 0.000
0.219 0.219 0.195
0.500 0.500 0.499
0.719 0.719 0.696
0.108 0.108 0.097
0.608 0.608 0.597
0.168 0.168 0.650
0.058 0.058 0.552
0.359 0.359 0.341
0.559 0.559 0.053
0.662 0.662 0.145
0.859 0.859 0.852
0.304 0.304 0.787
0.415 0.415 0.905
0.804 0.804 0.288
0.915 0.915 0.409
0.231 0.231 0.704
0.301 0.301 0.219
0.314 0.813 0.307
0.314 0.813 0.807
0.401 0.912 0.395
0.401 0.912 0.884
0.417 0.417 0.464
0.483 0.483 0.986
0.735 0.735 0.210
0.801 0.801 0.740
0.813 0.314 0.307
0.813 0.314 0.807
0.912 0.401 0.395
0.912 0.401 0.884
0.917 0.917 0.964
0.984 0.984 0.488
```

## Properties
VASP energy	-0.808	hartree per atom
formation energy from raw total energies	-63.43	eV per formula unit
magnetization	0.55	μB/f.u.
volume	453.3	Å³/f.u.